SmNpMn2O6 | GGA+U | relaxed

Cell and atoms, written as extended XYZ:
```
10
Lattice="6.121 0.000 0.000 0.000 6.121 0.000 0.000 0.000 4.459" Properties=species:S:1:pos:R:3 pbc="T T T"
Sm 0.000 0.000 0.000
Np 3.060 3.060 0.347
Mn 0.000 3.060 1.344
Mn 3.060 0.000 1.344
O 0.000 0.000 2.322
O 1.588 1.588 0.588
O 1.588 4.532 0.588
O 3.060 3.060 2.619
O 4.532 1.588 0.588
O 4.532 4.532 0.588
```

Summary:
Its total energy is -8.382 eV/atom. Its space group is No. 99. For the magnetic moment, the calculation gives 8.14 μB/cell.